(1)
# Sr4In3Ge (GGA-PBE, optimized geometry)
data_Sr4In3Ge
_cell_length_a 4.6422
_cell_length_b 4.8014
_cell_length_c 12.4628
_cell_angle_alpha 90.00
_cell_angle_beta 90.00
_cell_angle_gamma 90.00
_space_group_name_H-M_alt 'P 1'
_space_group_IT_number 1
loop_
_space_group_symop_operation_xyz
'x,y,z'
loop_
_atom_site_label
_atom_site_fract_x
_atom_site_fract_y
_atom_site_fract_z
Sr1 0.0000 0.0000 0.0000
Sr2 0.0000 0.5000 0.4772
Sr3 0.5000 0.0000 0.6987
Sr4 0.5000 0.5000 0.2084
In1 0.0000 0.5000 0.7695
In2 0.5000 0.0000 0.4106
In3 0.5000 0.5000 0.9224
Ge1 0.0000 0.0000 0.2720
# symmetry	Pmm2 (25)
# mass density	4588	kg/m³
# uncorrected energy	-2.9093	eV per atom

=====

(2)
# Sr2InGe2 (GGA-PBE, optimized geometry)
data_Sr2InGe2
_cell_length_a 7.0162
_cell_length_b 7.0162
_cell_length_c 7.0162
_cell_angle_alpha 135.45
_cell_angle_beta 135.45
_cell_angle_gamma 64.84
_space_group_name_H-M_alt 'P 1'
_space_group_IT_number 1
loop_
_space_group_symop_operation_xyz
'x,y,z'
loop_
_atom_site_label
_atom_site_fract_x
_atom_site_fract_y
_atom_site_fract_z
Sr1 0.2500 0.7500 0.5000
Sr2 0.7500 0.2500 0.5000
In1 0.0000 0.0000 0.0000
Ge1 0.4012 0.4012 0.0000
Ge2 0.5988 0.5988 0.0000
# symmetry	I4/mmm (139)
# mass density	4313	kg/m³
# uncorrected energy	-3.2080	eV per atom

=====

(3)
# Sr2InGe (GGA-PBE, optimized geometry)
data_Sr2InGe
_cell_length_a 7.2164
_cell_length_b 7.2164
_cell_length_c 7.2164
_cell_angle_alpha 104.88
_cell_angle_beta 104.88
_cell_angle_gamma 119.10
_space_group_name_H-M_alt 'P 1'
_space_group_IT_number 1
loop_
_space_group_symop_operation_xyz
'x,y,z'
loop_
_atom_site_label
_atom_site_fract_x
_atom_site_fract_y
_atom_site_fract_z
Sr1 0.0964 0.6250 0.9714
Sr2 0.3750 0.3464 0.4714
Sr3 0.6536 0.1250 0.0286
Sr4 0.8750 0.9036 0.5286
In1 0.2500 0.7500 0.5000
In2 0.5000 0.5000 0.0000
Ge1 0.0000 0.0000 0.0000
Ge2 0.7500 0.2500 0.5000
# symmetry	I-42d (122)
# mass density	4255	kg/m³
# uncorrected energy	-2.7780	eV per atom

=====

(4)
# Sr6InGe2 (GGA-PBE, optimized geometry)
data_Sr6InGe2
_cell_length_a 9.5740
_cell_length_b 9.5740
_cell_length_c 9.5740
_cell_angle_alpha 112.90
_cell_angle_beta 109.85
_cell_angle_gamma 105.74
_space_group_name_H-M_alt 'P 1'
_space_group_IT_number 1
loop_
_space_group_symop_operation_xyz
'x,y,z'
loop_
_atom_site_label
_atom_site_fract_x
_atom_site_fract_y
_atom_site_fract_z
Sr1 0.0523 0.2444 0.8079
Sr2 0.1770 0.2796 0.4566
Sr3 0.1770 0.7204 0.8974
Sr4 0.3362 0.0170 0.6808
Sr5 0.3362 0.6554 0.3192
Sr6 0.4365 0.2444 0.1921
Sr7 0.5635 0.7556 0.8079
Sr8 0.6638 0.3446 0.6808
Sr9 0.6638 0.9830 0.3192
Sr10 0.8230 0.2796 0.1026
Sr11 0.8230 0.7204 0.5434
Sr12 0.9477 0.7556 0.1921
In1 0.0000 0.0000 0.0000
In2 0.5000 0.5000 0.0000
Ge1 0.1138 0.6138 0.5000
Ge2 0.3266 0.0000 0.3266
Ge3 0.6734 0.0000 0.6734
Ge4 0.8862 0.3862 0.5000
# symmetry	Immm (71)
# mass density	3878	kg/m³
# uncorrected energy	-2.8678	eV per atom

=====

(5)
# SrInGe4 (GGA-PBE, optimized geometry)
data_SrInGe4
_cell_length_a 5.7850
_cell_length_b 5.7850
_cell_length_c 5.7850
_cell_angle_alpha 60.00
_cell_angle_beta 60.00
_cell_angle_gamma 60.00
_space_group_name_H-M_alt 'P 1'
_space_group_IT_number 1
loop_
_space_group_symop_operation_xyz
'x,y,z'
loop_
_atom_site_label
_atom_site_fract_x
_atom_site_fract_y
_atom_site_fract_z
Sr1 0.0000 0.0000 0.0000
In1 0.2500 0.2500 0.2500
Ge1 0.1260 0.6247 0.6247
Ge2 0.6247 0.1260 0.6247
Ge3 0.6247 0.6247 0.1260
Ge4 0.6247 0.6247 0.6247
# symmetry	F-43m (216)
# mass density	5980	kg/m³
# uncorrected energy	-3.9561	eV per atom

=====

(6)
# SrIn2Ge2 (GGA-PBE, optimized geometry)
data_SrIn2Ge2
_cell_length_a 8.0316
_cell_length_b 8.0316
_cell_length_c 4.0685
_cell_angle_alpha 90.00
_cell_angle_beta 90.00
_cell_angle_gamma 90.00
_space_group_name_H-M_alt 'P 1'
_space_group_IT_number 1
loop_
_space_group_symop_operation_xyz
'x,y,z'
loop_
_atom_site_label
_atom_site_fract_x
_atom_site_fract_y
_atom_site_fract_z
Sr1 0.0000 0.0000 0.0000
Sr2 0.5000 0.5000 0.0000
In1 0.1622 0.3378 0.5000
In2 0.3378 0.8378 0.5000
In3 0.6622 0.1622 0.5000
In4 0.8378 0.6622 0.5000
Ge1 0.1178 0.6178 0.0000
Ge2 0.3822 0.1178 0.0000
Ge3 0.6178 0.8822 0.0000
Ge4 0.8822 0.3822 0.0000
# symmetry	P4/mbm (127)
# mass density	5853	kg/m³
# uncorrected energy	-3.4004	eV per atom